# 1
VASP calculation (SCAN) on a crystal of SrNd2BeO5 relaxed with PBEsol.

a b c (Å): 6.5082 7.2433 9.4965
angles (deg): 90.00 90.00 90.00
Closest atoms and distances in Å follow each position.
Atoms (fractional coordinates):
Sr 0.5820 0.9805 0.6748  9 O 2.52-2.82, 1 Be 2.73
Sr 0.0820 0.4805 0.8252  9 O 2.52-2.82, 1 Be 2.73
Sr 0.9180 0.9805 0.1748  9 O 2.52-2.82, 1 Be 2.73
Sr 0.4180 0.4805 0.3252  9 O 2.52-2.82, 1 Be 2.73
Be 0.8078 0.7491 0.8980  4 O 1.61-1.69
Be 0.3078 0.2491 0.6020  4 O 1.61-1.69
Be 0.1922 0.2491 0.1020  4 O 1.61-1.69
Be 0.6922 0.7491 0.3980  4 O 1.61-1.69
Nd 0.9265 0.5273 0.1717  8 O 2.43-2.72
Nd 0.0735 0.0273 0.8283  8 O 2.43-2.72
Nd 0.5968 0.2469 0.9763  7 O 2.34-2.53
Nd 0.5735 0.5273 0.6717  8 O 2.43-2.72
Nd 0.0968 0.7469 0.5237  7 O 2.34-2.53
Nd 0.4265 0.0273 0.3283  8 O 2.43-2.72
Nd 0.9032 0.2469 0.4763  7 O 2.34-2.53
Nd 0.4032 0.7469 0.0237  7 O 2.34-2.53
O 0.1866 0.0582 0.5693  1 Be 1.62
O 0.6365 0.7492 0.2247  1 Be 1.69
O 0.5222 0.2507 0.5110  1 Be 1.64
O 0.4778 0.7507 0.4890  1 Be 1.64
O 0.6964 0.9422 0.9320  1 Be 1.61
O 0.1365 0.2492 0.2753  1 Be 1.69
O 0.6644 0.2460 0.2243  2 Nd 2.40-2.43, 2 Sr 2.53-2.58
O 0.1964 0.4422 0.5680  1 Be 1.61
O 0.3134 0.0582 0.0693  1 Be 1.62
O 0.8356 0.2460 0.7243  2 Nd 2.40-2.43, 2 Sr 2.53-2.58
O 0.0222 0.7507 0.9890  1 Be 1.64
O 0.3635 0.2492 0.7753  1 Be 1.69
O 0.3036 0.4422 0.0680  1 Be 1.61
O 0.8036 0.9422 0.4320  1 Be 1.61
O 0.9778 0.2507 0.0110  1 Be 1.64
O 0.3356 0.7460 0.7757  2 Nd 2.40-2.43, 2 Sr 2.53-2.58
O 0.8134 0.5582 0.4307  1 Be 1.62
O 0.6866 0.5582 0.9307  1 Be 1.62
O 0.8635 0.7492 0.7247  1 Be 1.69
O 0.1644 0.7460 0.2757  2 Nd 2.40-2.43, 2 Sr 2.53-2.58

Results
Theoretical density (Mg/m³): 6.90
Space-group type: Pna2_1
D(E_F) (states/eV/cell): 0.0



# 2
VASP calculation (SCAN) on a crystal of ScAl2Tc relaxed with PBEsol.

a b c (Å): 3.4154 4.3764 5.0836
angles (deg): 115.50 109.63 90.00
Closest atoms and distances in Å follow each position.
Atoms (fractional coordinates):
Sc 0.5000 0.0000 0.0000  4 Tc 2.78, 8 Al 2.83-2.97
Al 0.2643 0.2643 0.5287  2 Tc 2.64, 4 Al 2.79, 2 Sc 2.83
Al 0.7357 0.7357 0.4713  2 Tc 2.64, 4 Al 2.79, 2 Sc 2.83
Tc 0.0000 0.5000 0.0000  4 Al 2.64, 4 Sc 2.78

Results
Theoretical density (Mg/m³): 5.14
Space-group type: Immm
Energy above the most stable polymorph in this dataset (meV per atom): 2.2
D(E_F) (states/eV/cell): 1.5
Formation energy from the elements (meV per atom): -469.9



# 3
VASP calculation (SCAN) on a crystal of Li2MnCr3O8 relaxed with PBEsol.

a b c (Å): 5.7480 5.7760 5.8116
angles (deg): 89.98 119.15 120.16
Closest atoms and distances in Å follow each position.
Atoms (fractional coordinates):
O 0.9730 0.7413 0.2132  1 Mn 1.94, 2 Cr 1.94-1.98, 1 Li 2.13
O 0.5306 0.2654 0.7994  3 Cr 1.91-1.93
O 0.4694 0.7346 0.2006  3 Cr 1.91-1.93
O 0.9730 0.2316 0.2132  1 Mn 1.94, 2 Cr 1.94-1.98, 1 Li 2.13
O 0.0270 0.7684 0.7868  1 Mn 1.94, 2 Cr 1.94-1.98, 1 Li 2.13
O 0.5347 0.7674 0.7962  1 Mn 1.91, 2 Cr 1.94
O 0.4652 0.2326 0.2038  1 Mn 1.91, 2 Cr 1.94
O 0.0270 0.2587 0.7868  1 Mn 1.94, 2 Cr 1.94-1.98, 1 Li 2.13
Li 0.0000 0.5000 0.5000  6 O 2.17-2.21
Li 0.0000 0.0000 0.5000  6 O 2.13-2.19
Cr 0.5000 0.0000 0.0000  6 O 1.92-1.94
Cr 0.0000 0.5000 0.0000  6 O 1.93-1.98
Cr 0.5000 0.5000 0.0000  6 O 1.91-1.94
Mn 0.0000 0.0000 0.0000  6 O 1.91-1.94

Results
Theoretical density (Mg/m³): 4.25
Space-group type: C2/m
Energy above the most stable polymorph in this dataset (meV per atom): 88.9
D(E_F) (states/eV/cell): 2.8



# 4
VASP calculation (SCAN) on a crystal of BeHgMo4 relaxed with PBEsol.

a b c (Å): 5.1711 5.1711 5.1711
angles (deg): 60.00 60.00 60.00
Closest atoms and distances in Å follow each position.
Atoms (fractional coordinates):
Mo 0.8742 0.3753 0.3753  6 Mo 2.58-2.59
Mo 0.3753 0.3753 0.3753  6 Mo 2.58-2.59
Mo 0.3753 0.3753 0.8742  6 Mo 2.58-2.59
Mo 0.3753 0.8742 0.3753  6 Mo 2.58-2.59
Be 0.7500 0.7500 0.7500  12 Mo 3.03, 4 Hg 3.17
Hg 0.0000 0.0000 0.0000  12 Mo 3.03, 4 Be 3.17

Results
Theoretical density (Mg/m³): 10.08
Space-group type: F-43m
D(E_F) (states/eV/cell): 4.8
Formation energy from the elements (meV per atom): 745.7



# 5
VASP calculation (SCAN) on a crystal of Tl2CoMo relaxed with PBEsol.

a b c (Å): 2.9970 2.9970 8.3313
angles (deg): 90.00 90.00 90.00
Closest atoms and distances in Å follow each position.
Atoms (fractional coordinates):
Co 0.0000 0.0000 0.5465  4 Mo 2.45
Tl 0.0000 0.0000 0.9585  4 Tl 3.00, 4 Mo 3.06
Tl 0.5000 0.5000 0.3014  4 Co 2.94, 4 Tl 3.00, 1 Mo 3.27
Mo 0.5000 0.5000 0.6936  4 Co 2.45

Results
Theoretical density (Mg/m³): 12.51
Space-group type: P4mm
Energy above the most stable polymorph in this dataset (meV per atom): 0.0
D(E_F) (states/eV/cell): 2.4
Formation energy from the elements (meV per atom): 578.9



# 6
VASP calculation (SCAN) on a crystal of CuAg3Ir relaxed with PBEsol.

a b c (Å): 4.5142 4.5142 4.5142
angles (deg): 90.00 90.00 90.00
Closest atoms and distances in Å follow each position.
Atoms (fractional coordinates):
Ag 0.0000 0.0000 0.5000  2 Cu 2.26
Ag 0.5000 0.0000 0.0000  2 Cu 2.26
Ag 0.0000 0.5000 0.0000  2 Cu 2.26
Ir 0.5000 0.5000 0.5000  12 Ag 3.19
Cu 0.0000 0.0000 0.0000  6 Ag 2.26

Results
Theoretical density (Mg/m³): 10.46
Space-group type: Pm-3m
D(E_F) (states/eV/cell): 1.4
Formation energy from the elements (meV per atom): 1319.1



# 7
VASP calculation (SCAN) on a crystal of KGdTiO4 relaxed with PBEsol.

a b c (Å): 5.3508 5.4457 12.9541
angles (deg): 90.00 90.00 90.00
Closest atoms and distances in Å follow each position.
Atoms (fractional coordinates):
O 0.2500 0.0640 0.0633  2 Gd 2.20-2.30, 1 Ti 2.42
O 0.0000 0.2500 0.2285  2 Ti 1.95
O 0.5000 0.7500 0.7715  2 Ti 1.95
O 0.5000 0.2500 0.2285  2 Ti 1.95
O 0.2500 0.5640 0.9367  2 Gd 2.20-2.30, 1 Ti 2.42
O 0.0000 0.7500 0.7715  2 Ti 1.95
O 0.7500 0.9360 0.9367  2 Gd 2.20-2.30, 1 Ti 2.42
O 0.2500 0.4704 0.6175  1 Ti 1.75
O 0.7500 0.4360 0.0633  2 Gd 2.20-2.30, 1 Ti 2.42
O 0.0000 0.2500 0.7960  2 Ti 1.97
O 0.2500 0.9704 0.3825  1 Ti 1.75
O 0.7500 0.5296 0.3825  1 Ti 1.75
O 0.5000 0.7500 0.2040  2 Ti 1.97
O 0.7500 0.0296 0.6175  1 Ti 1.75
O 0.0000 0.7500 0.2040  2 Ti 1.97
O 0.5000 0.2500 0.7960  2 Ti 1.97
K 0.2500 0.4814 0.4049  7 O 2.68-2.93
K 0.2500 0.9814 0.5951  7 O 2.68-2.93
K 0.7500 0.5186 0.5951  7 O 2.68-2.93
K 0.7500 0.0186 0.4049  7 O 2.68-2.93
Ti 0.2500 0.4933 0.7525  3 O 1.75-1.95
Ti 0.2500 0.9933 0.2475  3 O 1.75-1.95
Ti 0.7500 0.0067 0.7525  3 O 1.75-1.95
Ti 0.7500 0.5067 0.2475  3 O 1.75-1.95
Gd 0.7500 0.5236 0.8979  6 O 2.20-2.45
Gd 0.7500 0.0236 0.1021  6 O 2.20-2.45
Gd 0.2500 0.9764 0.8979  6 O 2.20-2.45
Gd 0.2500 0.4764 0.1021  6 O 2.20-2.45

Results
Theoretical density (Mg/m³): 5.42
Space-group type: Pbcm
D(E_F) (states/eV/cell): 0.0



# 8
VASP calculation (SCAN) on a crystal of LiMgTa2 relaxed with PBEsol.

a b c (Å): 3.7784 3.7784 5.5647
angles (deg): 109.85 109.85 90.00
Closest atoms and distances in Å follow each position.
Atoms (fractional coordinates):
Li 0.5000 0.5000 0.0000  4 Mg 2.67
Ta 0.7500 0.2500 0.5000  4 Ta 2.67
Ta 0.2500 0.7500 0.5000  4 Ta 2.67
Mg 0.0000 0.0000 0.0000  4 Li 2.67

Results
Theoretical density (Mg/m³): 9.37
Space-group type: I4/mmm
D(E_F) (states/eV/cell): 2.8
Formation energy from the elements (meV per atom): 436.2



# 9
VASP calculation (SCAN) on a crystal of YTaTl relaxed with PBEsol.

a b c (Å): 4.9085 4.9085 4.9085
angles (deg): 60.00 60.00 60.00
Closest atoms and distances in Å follow each position.
Atoms (fractional coordinates):
Y 0.2500 0.2500 0.2500  4 Ta 3.01, 4 Tl 3.01
Ta 0.0000 0.0000 0.0000  4 Y 3.01
Tl 0.5000 0.5000 0.5000  4 Y 3.01

Results
Theoretical density (Mg/m³): 9.42
Space-group type: F-43m
Energy above the most stable polymorph in this dataset (meV per atom): 924.7
D(E_F) (states/eV/cell): 0.8
Formation energy from the elements (meV per atom): 1114.2



# 10
VASP calculation (SCAN) on a crystal of BaLi2Ru relaxed with PBEsol.

a b c (Å): 4.1435 4.1435 4.7396
angles (deg): 90.00 90.00 90.00
Closest atoms and distances in Å follow each position.
Atoms (fractional coordinates):
Ru 0.5000 0.5000 0.5000  4 Ba 2.93, 8 Li 3.15
Li 0.5000 0.0000 0.0000  4 Li 2.93, 4 Ru 3.15, 4 Ba 3.15
Li 0.0000 0.5000 0.0000  4 Li 2.93, 4 Ru 3.15, 4 Ba 3.15
Ba 0.0000 0.0000 0.5000  4 Ru 2.93, 8 Li 3.15

Results
Theoretical density (Mg/m³): 5.15
Space-group type: P4/mmm
Energy above the most stable polymorph in this dataset (meV per atom): 93.0
D(E_F) (states/eV/cell): 1.8
Formation energy from the elements (meV per atom): 597.5



# 11
VASP calculation (SCAN) on a crystal of KCaP3H6O12 relaxed with PBEsol.

a b c (Å): 7.2455 11.9456 12.1319
angles (deg): 90.00 103.89 90.00
Closest atoms and distances in Å follow each position.
Atoms (fractional coordinates):
H 0.1904 0.0130 0.4683  1 O 1.01
H 0.8618 0.4699 0.0866  1 O 0.99
H 0.0540 0.9335 0.3299  1 O 0.99
H 0.3644 0.8675 0.5222  1 O 1.01
H 0.4357 0.2001 0.4420  1 O 0.99
H 0.5540 0.5665 0.8299  1 O 0.99
H 0.6382 0.9699 0.4134  1 O 0.99
H 0.5872 0.5143 0.1231  1 O 1.01
H 0.6904 0.4870 0.9683  1 O 1.01
H 0.1382 0.5301 0.9134  1 O 0.99
H 0.3618 0.0301 0.5866  1 O 0.99
H 0.8096 0.9870 0.5317  1 O 1.01
H 0.9460 0.0665 0.6701  1 O 0.99
H 0.9128 0.0143 0.3769  1 O 1.01
H 0.3096 0.5130 0.0317  1 O 1.01
H 0.5643 0.7999 0.5580  1 O 0.99
H 0.6356 0.1325 0.4778  1 O 1.01
H 0.4460 0.4335 0.1701  1 O 0.99
H 0.1356 0.3675 0.9778  1 O 1.01
H 0.4128 0.4857 0.8769  1 O 1.01
H 0.9357 0.2999 0.9420  1 O 0.99
H 0.0643 0.7001 0.0580  1 O 0.99
H 0.8644 0.6325 0.0222  1 O 1.01
H 0.0872 0.9857 0.6231  1 O 1.01
O 0.2207 0.0626 0.1514  1 P 1.50
O 0.7207 0.4374 0.6514  1 P 1.50
O 0.9365 0.5644 0.8032  1 P 1.50
O 0.3420 0.3782 0.5455  1 P 1.50
O 0.2305 0.7288 0.7812  1 P 1.49
O 0.4103 0.2871 0.2027  1 P 1.50
O 0.4365 0.9356 0.3032  1 P 1.50
O 0.7543 0.5176 0.0460  2 H 0.99-1.01
O 0.2457 0.4824 0.9540  2 H 0.99-1.01
O 0.2695 0.2288 0.7188  1 P 1.49
O 0.5635 0.0644 0.6968  1 P 1.50
O 0.9103 0.2129 0.7027  1 P 1.50
O 0.0897 0.7871 0.2973  1 P 1.50
O 0.0635 0.4356 0.1968  1 P 1.50
O 0.9788 0.7123 0.4620  2 P 1.61-1.63
O 0.0781 0.4032 0.7190  2 P 1.61-1.62
O 0.7793 0.9374 0.8486  1 P 1.50
O 0.5897 0.7129 0.7973  1 P 1.50
O 0.4341 0.7975 0.5080  2 H 0.99-1.01
O 0.0212 0.2877 0.5380  2 P 1.61-1.63
O 0.9219 0.5968 0.2810  2 P 1.61-1.62
O 0.6580 0.6218 0.4545  1 P 1.50
O 0.1580 0.8782 0.9545  1 P 1.50
O 0.0659 0.2975 0.9920  2 H 0.99-1.01
O 0.2793 0.5626 0.3486  1 P 1.50
O 0.4640 0.9349 0.0979  2 P 1.62-1.63
O 0.1921 0.2479 0.3805  1 P 1.50
O 0.5781 0.0968 0.2190  2 P 1.61-1.62
O 0.8079 0.7521 0.6195  1 P 1.50
O 0.0360 0.4349 0.4021  2 P 1.62-1.63
O 0.2543 0.9824 0.5460  2 H 0.99-1.01
O 0.9640 0.5651 0.5979  2 P 1.62-1.63
O 0.7695 0.2712 0.2188  1 P 1.49
O 0.5212 0.2123 0.0380  2 P 1.61-1.63
O 0.8420 0.1218 0.0455  1 P 1.50
O 0.9341 0.7025 0.0080  2 H 0.99-1.01
O 0.4788 0.7877 0.9620  2 P 1.61-1.63
O 0.7305 0.7712 0.2812  1 P 1.49
O 0.5281 0.4867 0.8441  2 H 0.99-1.01
O 0.5659 0.2025 0.4920  2 H 0.99-1.01
O 0.4219 0.9032 0.7810  2 P 1.61-1.62
O 0.3079 0.7479 0.1195  1 P 1.50
O 0.4719 0.5133 0.1559  2 H 0.99-1.01
O 0.5360 0.0651 0.9021  2 P 1.62-1.63
O 0.6921 0.2521 0.8805  1 P 1.50
O 0.7457 0.0176 0.4540  2 H 0.99-1.01
O 0.0281 0.0133 0.3441  2 H 0.99-1.01
O 0.9719 0.9867 0.6559  2 H 0.99-1.01
P 0.9257 0.7253 0.3245  4 O 1.49-1.63
P 0.5743 0.2253 0.1755  4 O 1.49-1.63
P 0.4257 0.7747 0.8245  4 O 1.49-1.63
P 0.3335 0.8331 0.0339  4 O 1.50-1.62
P 0.1665 0.3331 0.4661  4 O 1.50-1.62
P 0.6665 0.1669 0.9661  4 O 1.50-1.62
P 0.0917 0.5071 0.3006  4 O 1.50-1.63
P 0.4083 0.0071 0.1994  4 O 1.50-1.63
P 0.5917 0.9929 0.8006  4 O 1.50-1.63
P 0.0743 0.2747 0.6755  4 O 1.49-1.63
P 0.9083 0.4929 0.6994  4 O 1.50-1.63
P 0.8335 0.6669 0.5339  4 O 1.50-1.62
K 0.6220 0.4069 0.3999  3 O 2.65-2.89, 2 H 2.79-2.92
K 0.8780 0.9069 0.1001  3 O 2.65-2.89, 2 H 2.79-2.92
K 0.3780 0.5931 0.6001  3 O 2.65-2.89, 2 H 2.79-2.92
K 0.1220 0.0931 0.8999  3 O 2.65-2.89, 2 H 2.79-2.92
Ca 0.5740 0.2667 0.6816  7 O 2.36-2.47
Ca 0.4260 0.7333 0.3184  7 O 2.36-2.47
Ca 0.9260 0.7667 0.8184  7 O 2.36-2.47
Ca 0.0740 0.2333 0.1816  7 O 2.36-2.47

Results
Theoretical density (Mg/m³): 2.41
Space-group type: P2_1/c
D(E_F) (states/eV/cell): 0.0



# 12
VASP calculation (SCAN) on a crystal of InOs2Ru relaxed with PBEsol.

a b c (Å): 2.7896 4.7444 4.8197
angles (deg): 99.65 106.82 90.00
Closest atoms and distances in Å follow each position.
Atoms (fractional coordinates):
Os 0.2609 0.2693 0.5219  6 Os 2.63-2.89, 3 Ru 2.68-2.81, 3 In 2.74-2.88
Os 0.7391 0.7307 0.4781  6 Os 2.63-2.89, 3 Ru 2.68-2.81, 3 In 2.74-2.88
Ru 0.0000 0.5000 0.0000  6 Os 2.68-2.81, 4 In 2.75, 2 Ru 2.79
In 0.5000 0.0000 0.0000  6 Os 2.74-2.88, 4 Ru 2.75, 2 In 2.79

Results
Theoretical density (Mg/m³): 16.47
Space-group type: C2/m
D(E_F) (states/eV/cell): 3.6
Formation energy from the elements (meV per atom): 387.5



VASP energy for the records above, in order: -175.72, -66.68, -160.64, -207.59, -194.59, -173.80, -130.85, -138.79, -163.44, -76.77, -191.78, -210.42 eV/f.u.